--- 1 ---
ScCSe3: relaxed, PBE.

```
ScCSe3
1.0
-2.7487 -3.2790 1.1842
-0.4474 -1.1637 -4.2609
3.4574 -2.7574 0.3900
Sc C Se
1 1 3
direct
0.5000 0.5000 0.5000 Sc
0.0000 0.0000 0.0000 C
0.0000 0.5000 0.0000 Se
0.0000 0.0000 0.5000 Se
0.5000 0.0000 0.0000 Se
```

Results
The calculation puts the density of states at the Fermi level at 0.519 states/eV per atom. Its total moment is 0.00 μB/cell.

---

--- 2 ---
ScCSe3: relaxed, PBE.

```
ScCSe3
1.0
5.1093 0.0000 0.0000
0.0000 5.1093 0.0000
0.0000 0.0000 5.1093
Sc C Se
1 1 3
direct
0.0000 0.0000 0.0000 Sc
0.5000 0.5000 0.5000 C
0.0000 0.5000 0.0000 Se
0.0000 0.0000 0.5000 Se
0.5000 0.0000 0.0000 Se
```

Results
The calculation puts the density of states at the Fermi level at 1.800 states/eV per atom. Its total moment is 0.00 μB/cell.

---

1 wins, 807 meV per atom ahead of the next structure.

---

--- 1 ---
Sc3CSe: relaxed, PBE.

```
Sc3CSe
1.0
5.8274 -0.0268 -0.0286
-0.6610 7.9666 -0.2442
-0.6610 -0.7545 7.9346
Sc C Se
12 4 4
direct
0.6095 0.1887 0.0429 Sc
0.8905 0.9571 0.8113 Sc
0.3905 0.8113 0.9571 Sc
0.1095 0.0429 0.1887 Sc
0.8915 0.6811 0.0827 Sc
0.6085 0.9173 0.3189 Sc
0.1085 0.3189 0.9173 Sc
0.3915 0.0827 0.6811 Sc
0.4296 0.5505 0.2561 Sc
0.0704 0.7439 0.4495 Sc
0.5704 0.4495 0.7439 Sc
0.9296 0.2561 0.5505 Sc
0.2500 0.0672 0.9328 C
0.7500 0.9328 0.0672 C
0.2500 0.7839 0.2161 C
0.7500 0.2161 0.7839 C
0.9778 0.4006 0.2403 Se
0.5222 0.7597 0.5994 Se
0.0222 0.5994 0.7597 Se
0.4778 0.2403 0.4006 Se
```

Results
The calculation puts the density of states at the Fermi level at 0.668 states/eV per atom. Its total moment is 0.00 μB/cell.

---

--- 2 ---
Sc3CSe: relaxed, PBE.

```
Sc3CSe
1.0
-2.0276 1.9256 2.0518
2.4473 -2.9958 5.2301
4.9540 6.7642 -1.4524
Sc C Se
6 2 2
direct
0.2500 0.0660 0.3724 Sc
0.2500 0.5857 0.3200 Sc
0.2500 0.2290 0.9282 Sc
0.7500 0.9340 0.6276 Sc
0.7500 0.7710 0.0718 Sc
0.7500 0.4143 0.6800 Sc
0.7500 0.8128 0.3509 C
0.2500 0.1872 0.6491 C
0.7500 0.2273 0.1805 Se
0.2500 0.7727 0.8195 Se
```

Results
The calculation puts the density of states at the Fermi level at 1.009 states/eV per atom. Its total moment is 0.00 μB/cell.

---

2 wins, 10 meV per atom ahead of the next structure.

---

--- 1 ---
ScSiC3: relaxed, PBE.

```
ScSiC3
1.0
-1.2463 -2.7853 -2.8917
3.5798 -2.1418 0.5201
-1.8178 -2.3082 3.0067
Sc Si C
1 1 3
direct
0.0000 0.0000 0.0000 Sc
0.5000 0.5000 0.5000 Si
0.0000 0.5000 0.0000 C
0.0000 0.0000 0.5000 C
0.5000 0.0000 0.0000 C
```

Results
The calculation puts the density of states at the Fermi level at 0.393 states/eV per atom. Its total moment is 0.00 μB/cell.

---

--- 2 ---
ScSiC3: relaxed, PBE.

```
ScSiC3
1.0
-3.0821 -2.1289 -0.1937
0.6181 -1.2128 3.4952
-2.0464 2.8401 1.3474
Sc Si C
1 1 3
direct
0.5000 0.5000 0.5000 Sc
0.0000 0.0000 0.0000 Si
0.0000 0.5000 0.0000 C
0.0000 0.0000 0.5000 C
0.5000 0.0000 0.0000 C
```

Results
The calculation puts the density of states at the Fermi level at 0.672 states/eV per atom. Its total moment is 0.00 μB/cell.

---

2 wins, 1426 meV per atom ahead of the next structure.

---

--- 1 ---
ScSi3C: relaxed, PBE.

```
ScSi3C
1.0
5.0210 0.0000 0.0000
0.0000 5.0210 0.0000
0.0000 0.0000 5.0210
Sc Si C
1 3 1
direct
0.0000 0.0000 0.0000 Sc
0.0000 0.5000 0.0000 Si
0.0000 0.0000 0.5000 Si
0.5000 0.0000 0.0000 Si
0.5000 0.5000 0.5000 C
```

Results
The calculation puts the density of states at the Fermi level at 1.146 states/eV per atom. Its total moment is 1.17 μB/cell.

---

--- 2 ---
ScSi3C: relaxed, PBE.

```
ScSi3C
1.0
4.1440 0.0000 0.0000
0.0000 4.1440 0.0000
0.0000 0.0000 4.1440
Sc Si C
1 3 1
direct
0.5000 0.5000 0.5000 Sc
0.0000 0.5000 0.0000 Si
0.0000 0.0000 0.5000 Si
0.5000 0.0000 0.0000 Si
0.0000 0.0000 0.0000 C
```

Results
The calculation puts the density of states at the Fermi level at 0.609 states/eV per atom. Its total moment is 0.00 μB/cell.

---

2 wins, 1700 meV per atom ahead of the next structure.